La2PrSn7: optimized geometry, PBE-GGA.

a b c (Å): 13.2706 13.2706 4.7081
angles (deg): 90.00 90.00 160.01
Fractional positions:
La 0.8147 0.1853 0.0000
La 0.1853 0.8147 0.0000
Pr 0.0000 0.0000 0.0000
Sn 0.5947 0.4053 0.0000
Sn 0.4053 0.5947 0.0000
Sn 0.9047 0.0953 0.5000
Sn 0.7110 0.2890 0.5000
Sn 0.5000 0.5000 0.5000
Sn 0.2890 0.7110 0.5000
Sn 0.0953 0.9047 0.5000

- space-group type = Cmmm (65)
- total energy (eV per atom) = -4.89